# 1
# KCo | the Alexandria database | PBE | relaxed
# space-group type: I-43m (217)
# relative energy among the computed polymorphs: 0.313 eV/atom
# magnetic moment: 8.011 μB per cell
# formation energy: 0.94 eV per atom
data_KCo
_chemical_formula_sum 'K4 Co4'
_cell_length_a 8.315
_cell_length_b 8.315
_cell_length_c 8.315
_cell_angle_alpha 109.47
_cell_angle_beta 109.47
_cell_angle_gamma 109.47
_space_group_name_H-M_alt 'P 1'
_space_group_IT_number 1
_space_group_name_Hall 'P 1'
loop_
_atom_site_label
_atom_site_type_symbol
_atom_site_fract_x
_atom_site_fract_y
_atom_site_fract_z
K1 K 0.000 0.000 0.569
K2 K 0.000 0.569 0.000
K3 K 0.431 0.431 0.431
K4 K 0.569 0.000 0.000
Co1 Co 0.000 0.000 0.166
Co2 Co 0.000 0.166 0.000
Co3 Co 0.166 0.000 0.000
Co4 Co 0.834 0.834 0.834



# 2
# KCo2 | the Alexandria database | PBE | relaxed
# space-group type: P-3m1 (164)
# magnetic moment: 3.064 μB per cell
# formation energy: 1.00 eV per atom
data_KCo2
_chemical_formula_sum 'K1 Co2'
_cell_length_a 2.777
_cell_length_b 2.777
_cell_length_c 7.470
_cell_angle_alpha 90.00
_cell_angle_beta 90.00
_cell_angle_gamma 120.00
_space_group_name_H-M_alt 'P 1'
_space_group_IT_number 1
_space_group_name_Hall 'P 1'
loop_
_atom_site_label
_atom_site_type_symbol
_atom_site_fract_x
_atom_site_fract_y
_atom_site_fract_z
K1 K 0.000 0.000 0.000
Co1 Co 0.333 0.667 0.381
Co2 Co 0.667 0.333 0.619



Which of these has the lowest formation energy? KCo



Please write out number 2 again, unchanged.
# KCo2 | the Alexandria database | PBE | relaxed
# space-group type: P-3m1 (164)
# magnetic moment: 3.064 μB per cell
# formation energy: 1.00 eV per atom
data_KCo2
_chemical_formula_sum 'K1 Co2'
_cell_length_a 2.777
_cell_length_b 2.777
_cell_length_c 7.470
_cell_angle_alpha 90.00
_cell_angle_beta 90.00
_cell_angle_gamma 120.00
_space_group_name_H-M_alt 'P 1'
_space_group_IT_number 1
_space_group_name_Hall 'P 1'
loop_
_atom_site_label
_atom_site_type_symbol
_atom_site_fract_x
_atom_site_fract_y
_atom_site_fract_z
K1 K 0.000 0.000 0.000
Co1 Co 0.333 0.667 0.381
Co2 Co 0.667 0.333 0.619